Compound: LiFePO4
Source: the Alexandria database
Functional: PBE+U
Structure: relaxed

Calculated values
- Offset from the most stable computed form: 13 meV/atom
- Space group: Cc
- Raw total energy: -190.94 eV for the cell shown

POSCAR file:
```
LiFePO4
1.0
5.0125 -0.0123 0.0102
-0.1791 8.7302 -0.0077
-0.1676 -3.0697 8.2087
O Li P Fe
16 4 4 4
Cartesian
3.8921 -0.4012 4.5338
3.0661 2.9798 3.1815
3.0825 -0.4052 7.6447
3.3542 2.6840 6.7234
0.6600 1.1358 3.5353
0.9318 4.2249 2.6139
3.8891 0.0692 2.0492
1.4696 1.1398 0.4243
0.2718 6.8113 0.0317
0.4760 1.4511 7.2807
2.6943 5.2703 4.1411
3.1177 5.0439 1.6427
1.2990 -1.4595 6.1484
0.5696 7.4101 3.0101
0.5277 3.5152 5.7419
2.9921 5.8691 7.1195
-0.0460 2.9658 3.8595
4.8264 -0.0594 0.2614
2.2364 -1.5881 4.3606
2.3764 1.4248 7.9689
2.2062 -1.6677 7.3968
2.4572 4.3832 2.8842
4.7963 -0.1390 3.2976
-0.1329 2.8545 6.9835
2.4096 4.3149 5.9277
4.7052 -0.2306 6.4105
-0.0129 5.8558 1.8182
2.2827 1.3105 2.3011
```